[1]
DFT (PBE-GGA) results for an optimized crystal structure of Cs2ScTe8.

Calculated values
As for the crystal system: triclinic. The value obtained for the volume is 463 Å³/cell.

Unit cell a=7.1253 b=8.1270 c=8.3525 alpha=73.70 beta=87.23 gamma=85.37
Fractional positions:
Cs1 0.1154 0.2422 0.0133
Cs2 0.8846 0.7578 0.9867
Sc1 0.5000 0.5000 0.5000
Te1 0.1372 0.4314 0.4024
Te2 0.3138 0.9987 0.6578
Te3 0.4246 0.8134 0.2414
Te4 0.4271 0.6516 0.7902
Te5 0.5729 0.3484 0.2098
Te6 0.5754 0.1866 0.7586
Te7 0.6862 0.0013 0.3422
Te8 0.8628 0.5686 0.5976

[2]
DFT (PBE-GGA) results for an optimized crystal structure of CsSc6Te8.

Calculated values
The calculation puts the offset from the most stable computed form at 0.0 meV per atom. As for the crystal system: trigonal. The value obtained for the volume is 460 Å³/cell.

Unit cell a=11.2345 b=11.2345 c=4.2088 alpha=90.00 beta=90.00 gamma=120.00
Fractional positions:
Cs1 0.0000 0.0000 0.0000
Sc1 0.1369 0.6485 0.2484
Sc2 0.3515 0.4884 0.2484
Sc3 0.4884 0.1369 0.7516
Sc4 0.5116 0.8631 0.2484
Sc5 0.6485 0.5116 0.7516
Sc6 0.8631 0.3515 0.7516
Te1 0.0457 0.3540 0.2528
Te2 0.3083 0.9543 0.2528
Te3 0.3333 0.6667 0.7490
Te4 0.3540 0.3083 0.7472
Te5 0.6460 0.6917 0.2528
Te6 0.6667 0.3333 0.2510
Te7 0.6917 0.0457 0.7472
Te8 0.9543 0.6460 0.7472

[3]
DFT (PBE-GGA) results for an optimized crystal structure of CsSc3Te.

Calculated values
The calculation puts the offset from the most stable computed form at 0.0 meV per atom. As for the crystal system: cubic. The value obtained for the volume is 180 Å³/cell.

Unit cell a=5.6425 b=5.6425 c=5.6425 alpha=90.00 beta=90.00 gamma=90.00
Fractional positions:
Cs1 0.0000 0.0000 0.0000
Sc1 0.0000 0.5000 0.5000
Sc2 0.5000 0.0000 0.5000
Sc3 0.5000 0.5000 0.0000
Te1 0.5000 0.5000 0.5000

[4]
DFT (PBE-GGA) results for an optimized crystal structure of CsSc6Te8.

Calculated values
The calculation puts the offset from the most stable computed form at 84.5 meV per atom. As for the crystal system: trigonal. The value obtained for the volume is 521 Å³/cell.

Unit cell a=8.0453 b=8.0453 c=8.0453 alpha=89.64 beta=89.64 gamma=89.64
Fractional positions:
Cs1 0.0000 0.0000 0.0000
Sc1 0.2058 0.4046 0.5710
Sc2 0.4046 0.5710 0.2058
Sc3 0.4290 0.7942 0.5954
Sc4 0.5710 0.2058 0.4046
Sc5 0.5954 0.4290 0.7942
Sc6 0.7942 0.5954 0.4290
Te1 0.1316 0.7236 0.3989
Te2 0.2570 0.2570 0.2570
Te3 0.2764 0.6011 0.8684
Te4 0.3989 0.1316 0.7236
Te5 0.6011 0.8684 0.2764
Te6 0.7236 0.3989 0.1316
Te7 0.7430 0.7430 0.7430
Te8 0.8684 0.2764 0.6011

Computed values of density of states at the Fermi level (unit: states/eV/atom) for the preceding records, in sequence: 0.593, 0.736, 1.568, 0.472.
Computed values of total moment (unit: μB per cell) for the preceding records, in sequence: 0.0, 2.0, 3.8, 0.9.
Computed values of uncorrected formation energy (unit: eV per atom) for the preceding records, in sequence: -0.566, -1.240, 0.360, -1.156.